No. 1
Below is Tm2ScGa after structural relaxation, with properties calculated at the PBE level.

a = 4.6046 Å, b = 4.6046 Å, c = 4.4937 Å
α = 90.00°, β = 90.00°, γ = 90.00°
Fractional coordinates of all 4 atoms:
Tm 0.0000 0.5000 0.0000
Tm 0.5000 0.0000 0.0000
Sc 0.0000 0.0000 0.5000
Ga 0.5000 0.5000 0.5000

Results
ΔE to the lowest computed polymorph in meV per atom: 20
Symmetry: No. 123
DOS at the Fermi energy in states/eV per atom: 1.309
Crystal system: tetragonal

No. 2
Below is Tm3Sc4Ga4 after structural relaxation, with properties calculated at the PBE level.

a = 8.7757 Å, b = 8.7757 Å, c = 8.7757 Å
α = 148.80°, β = 134.27°, γ = 56.40°
Fractional coordinates of all 11 atoms:
Tm 0.0000 0.0000 0.0000
Tm 0.3918 0.8918 0.5000
Tm 0.6082 0.1082 0.5000
Sc 0.0411 0.3229 0.7182
Sc 0.3953 0.6771 0.7182
Sc 0.6047 0.3229 0.2818
Sc 0.9589 0.6771 0.2818
Ga 0.1899 0.1899 0.0000
Ga 0.3024 0.5000 0.8024
Ga 0.6976 0.5000 0.1976
Ga 0.8101 0.8101 0.0000

Results
Symmetry: No. 71
DOS at the Fermi energy in states/eV per atom: 0.914
Crystal system: orthorhombic
E_tot in eV/atom: -5.036

No. 3
Below is TmSc2Ga after structural relaxation, with properties calculated at the PBE level.

a = 9.8800 Å, b = 9.8800 Å, c = 9.8800 Å
α = 19.76°, β = 19.76°, γ = 19.76°
Fractional coordinates of all 4 atoms:
Tm 0.0000 0.0000 0.0000
Sc 0.2390 0.2390 0.2390
Sc 0.4289 0.4289 0.4289
Ga 0.8342 0.8342 0.8342

Results
ΔE to the lowest computed polymorph in meV per atom: 116
Symmetry: No. 160
DOS at the Fermi energy in states/eV per atom: 1.007
Crystal system: trigonal

No. 4
Below is TmScGa4 after structural relaxation, with properties calculated at the PBE level.

a = 5.3879 Å, b = 5.3879 Å, c = 5.3879 Å
α = 60.00°, β = 60.00°, γ = 60.00°
Fractional coordinates of all 6 atoms:
Tm 0.0000 0.0000 0.0000
Sc 0.7500 0.7500 0.7500
Ga 0.3752 0.3752 0.3752
Ga 0.3752 0.3752 0.8745
Ga 0.3752 0.8745 0.3752
Ga 0.8745 0.3752 0.3752

Results
ΔE to the lowest computed polymorph in meV per atom: 54
Symmetry: No. 216
DOS at the Fermi energy in states/eV per atom: 0.608
Crystal system: cubic

No. 5
Below is TmScGa2 after structural relaxation, with properties calculated at the PBE level.

a = 4.8696 Å, b = 4.8696 Å, c = 4.8696 Å
α = 60.00°, β = 60.00°, γ = 60.00°
Fractional coordinates of all 4 atoms:
Tm 0.0000 0.0000 0.0000
Sc 0.5000 0.5000 0.5000
Ga 0.2500 0.2500 0.2500
Ga 0.7500 0.7500 0.7500

Results
ΔE to the lowest computed polymorph in meV per atom: 29
Symmetry: No. 225
DOS at the Fermi energy in states/eV per atom: 0.386
Crystal system: cubic

No. 6
Below is TmScGa2 after structural relaxation, with properties calculated at the PBE level.

a = 3.4518 Å, b = 3.4518 Å, c = 6.8558 Å
α = 90.00°, β = 90.00°, γ = 90.00°
Fractional coordinates of all 4 atoms:
Tm 0.0000 0.0000 0.0000
Sc 0.0000 0.0000 0.5000
Ga 0.5000 0.5000 0.2654
Ga 0.5000 0.5000 0.7346

Results
ΔE to the lowest computed polymorph in meV per atom: 25
Symmetry: No. 123
DOS at the Fermi energy in states/eV per atom: 0.536
Crystal system: tetragonal